[1]
ZrBePb2 (PBE, relaxed); crystal system = tetragonal; DOS(E_F) = 1.4 states/eV/f.u.; space group = P4/mmm, No. 123; calculated density = 9.39 g/cm³; formation energy from the elements = 33.5 kJ/mol of atoms
1.0
5.212 0.000 0.000
0.000 5.212 0.000
0.000 0.000 3.349
Zr Be Pb
1 1 2
Direct
0.000 0.000 0.000
0.500 0.500 0.000
0.000 0.500 0.500
0.500 0.000 0.500

[2]
SrNpPdO6 (PBE, relaxed); crystal system = trigonal; DOS(E_F) = 3.1 states/eV/f.u.; energy relative to the elements, uncorrected = -200 kJ/mol of atoms; space group = P-31c, No. 163; calculated density = 6.31 g/cm³
1.0
5.371 0.000 0.000
-2.685 4.651 0.000
0.000 0.000 11.105
Sr Np Pd O
2 2 2 12
Direct
0.000 0.000 0.000
0.000 0.000 0.500
0.333 0.667 0.250
0.667 0.333 0.750
0.333 0.667 0.750
0.667 0.333 0.250
0.005 0.365 0.647
0.005 0.640 0.853
0.360 0.365 0.853
0.360 0.995 0.647
0.365 0.005 0.147
0.365 0.360 0.353
0.635 0.640 0.647
0.635 0.995 0.853
0.640 0.005 0.353
0.640 0.635 0.147
0.995 0.360 0.147
0.995 0.635 0.353

[3]
Tb3Sm12Tl (PBE, relaxed); crystal system = tetragonal; DOS(E_F) = 22.8 states/eV/f.u.; space group = P4/mmm, No. 123; calculated density = 7.92 g/cm³; formation energy from the elements = -2.7 kJ/mol of atoms
1.0
5.044 0.000 0.000
0.000 5.044 0.000
0.000 0.000 20.497
Tb Sm Tl
3 12 1
Direct
0.000 0.000 0.000
0.000 0.000 0.252
0.000 0.000 0.748
0.000 0.500 0.126
0.000 0.500 0.378
0.000 0.500 0.622
0.000 0.500 0.874
0.500 0.000 0.126
0.500 0.000 0.378
0.500 0.000 0.622
0.500 0.000 0.874
0.500 0.500 0.000
0.500 0.500 0.254
0.500 0.500 0.500
0.500 0.500 0.746
0.000 0.000 0.500

[4]
Cu2AgSb (PBE, relaxed); crystal system = tetragonal; DOS(E_F) = 1.3 states/eV/f.u.; energy relative to the elements, uncorrected = 27 kJ/mol of atoms; space group = I-42d, No. 122; calculated density = 7.93 g/cm³
1.0
-2.045 2.045 8.934
2.045 -2.045 8.934
2.045 2.045 -8.934
Cu Ag Sb
4 2 2
Direct
0.106 0.625 0.981
0.375 0.356 0.481
0.644 0.125 0.019
0.875 0.894 0.519
0.250 0.750 0.500
0.500 0.500 0.000
0.000 0.000 0.000
0.750 0.250 0.500

[5]
NpAgPt4 (PBE, relaxed); crystal system = cubic; DOS(E_F) = 13.2 states/eV/f.u.; space group = F-43m, No. 216; calculated density = 17.18 g/cm³; formation energy from the elements = -44.4 kJ/mol of atoms
1.0
0.000 3.789 3.789
3.789 0.000 3.789
3.789 3.789 0.000
Np Ag Pt
1 1 4
Direct
0.000 0.000 0.000
0.250 0.250 0.250
0.126 0.625 0.625
0.625 0.126 0.625
0.625 0.625 0.126
0.625 0.625 0.625

[6]
Be3GaS (PBE, relaxed); crystal system = cubic; DOS(E_F) = 3.3 states/eV/f.u.; energy relative to the elements, uncorrected = 62 kJ/mol of atoms; space group = Pm-3m, No. 221; calculated density = 3.12 g/cm³; ΔE to the lowest computed polymorph = 0 meV/atom
1.0
4.095 0.000 0.000
0.000 4.095 0.000
0.000 0.000 4.095
Be Ga S
3 1 1
Direct
0.000 0.000 0.500
0.000 0.500 0.000
0.500 0.000 0.000
0.500 0.500 0.500
0.000 0.000 0.000

[7]
Ba2YCdO5 (PBE, relaxed); crystal system = orthorhombic; DOS(E_F) = 6.8 states/eV/f.u.; energy relative to the elements, uncorrected = -218 kJ/mol of atoms; space group = Cmc2_1, No. 36; calculated density = 5.89 g/cm³
1.0
1.820 -7.585 0.000
1.820 7.585 0.000
0.000 0.000 11.345
Ba Y Cd O
4 2 2 10
Direct
0.114 0.886 0.500
0.131 0.869 0.092
0.869 0.131 0.592
0.886 0.114 0.000
0.216 0.784 0.805
0.784 0.216 0.305
0.484 0.516 0.278
0.516 0.484 0.778
0.069 0.931 0.857
0.282 0.718 0.438
0.299 0.701 0.177
0.364 0.636 0.806
0.499 0.501 0.586
0.501 0.499 0.086
0.636 0.364 0.306
0.701 0.299 0.677
0.718 0.282 0.938
0.931 0.069 0.357

[8]
TiTlP2O (PBE, relaxed); crystal system = tetragonal; DOS(E_F) = 4.0 states/eV/f.u.; energy relative to the elements, uncorrected = -52 kJ/mol of atoms; space group = P4/mmm, No. 123; calculated density = 5.81 g/cm³; ΔE to the lowest computed polymorph = 0 meV/atom
1.0
5.034 0.000 0.000
0.000 5.034 0.000
0.000 0.000 3.724
Ti Tl P O
1 1 2 1
Direct
0.000 0.000 0.000
0.500 0.500 0.500
0.000 0.500 0.000
0.500 0.000 0.000
0.000 0.000 0.500

[9]
Pa3NbS2O6 (PBE, relaxed); crystal system = monoclinic; DOS(E_F) = 7.0 states/eV/f.u.; energy relative to the elements, uncorrected = -243 kJ/mol of atoms; space group = C2/m, No. 12; calculated density = 7.09 g/cm³
1.0
5.964 -3.555 0.000
5.964 3.555 0.000
-1.034 0.000 5.223
Pa Nb S O
3 1 2 6
Direct
0.000 0.000 0.000
0.000 0.500 0.500
0.500 0.000 0.500
0.500 0.500 0.500
0.201 0.201 0.844
0.799 0.799 0.156
0.159 0.700 0.714
0.300 0.841 0.286
0.322 0.322 0.359
0.678 0.678 0.641
0.700 0.159 0.714
0.841 0.300 0.286

[10]
Sn4Te2As (PBE, relaxed); crystal system = tetragonal; DOS(E_F) = 2.9 states/eV/f.u.; energy relative to the elements, uncorrected = 19 kJ/mol of atoms; space group = I4/mmm, No. 139; calculated density = 5.63 g/cm³
1.0
-2.687 2.687 8.222
2.687 -2.687 8.222
2.687 2.687 -8.222
Sn Te As
4 2 1
Direct
0.000 0.500 0.500
0.172 0.172 0.000
0.500 0.000 0.500
0.828 0.828 0.000
0.371 0.371 0.000
0.629 0.629 0.000
0.000 0.000 0.000

[11]
Pa12Ge6Os (PBE, relaxed); crystal system = trigonal; DOS(E_F) = 36.3 states/eV/f.u.; space group = R-3, No. 148; calculated density = 13.49 g/cm³; formation energy from the elements = -15.4 kJ/mol of atoms
1.0
5.354 3.091 4.211
-5.354 3.091 4.211
0.000 -6.183 4.211
Pa Ge Os
12 6 1
Direct
0.019 0.301 0.925
0.075 0.981 0.699
0.124 0.349 0.451
0.301 0.925 0.019
0.349 0.451 0.124
0.451 0.124 0.349
0.549 0.876 0.651
0.651 0.549 0.876
0.699 0.075 0.981
0.876 0.651 0.549
0.925 0.019 0.301
0.981 0.699 0.075
0.239 0.759 0.389
0.241 0.611 0.761
0.389 0.239 0.759
0.611 0.761 0.241
0.759 0.389 0.239
0.761 0.241 0.611
0.500 0.500 0.500

[12]
CaTaBr2 (PBE, relaxed); crystal system = monoclinic; DOS(E_F) = 2.9 states/eV/f.u.; energy relative to the elements, uncorrected = -19 kJ/mol of atoms; space group = C2/m, No. 12; calculated density = 5.25 g/cm³; ΔE to the lowest computed polymorph = 214 meV/atom
1.0
6.834 -1.684 0.000
6.834 1.684 0.000
-1.785 0.000 5.235
Ca Ta Br
1 1 2
Direct
0.000 0.000 0.000
0.500 0.500 0.500
0.157 0.157 0.684
0.843 0.843 0.316

[13]
BeAsOs2 (PBE, relaxed); crystal system = trigonal; DOS(E_F) = 5.3 states/eV/f.u.; space group = R-3m, No. 166; calculated density = 14.37 g/cm³; formation energy from the elements = 36.9 kJ/mol of atoms; ΔE to the lowest computed polymorph = 258 meV/atom
1.0
1.442 0.832 7.453
-1.442 0.832 7.453
0.000 -1.665 7.453
Be As Os
1 1 2
Direct
0.000 0.000 0.000
0.500 0.500 0.500
0.255 0.255 0.255
0.745 0.745 0.745

[14]
CePm8Pr2 (PBE, relaxed); crystal system = monoclinic; DOS(E_F) = 20.3 states/eV/f.u.; space group = C2/m, No. 12; calculated density = 6.93 g/cm³; formation energy from the elements = 3.6 kJ/mol of atoms
1.0
9.312 -2.581 0.000
9.312 2.581 0.000
-2.144 0.000 7.890
Ce Pm Pr
1 8 2
Direct
0.000 0.000 0.000
0.090 0.090 0.452
0.180 0.180 0.908
0.366 0.366 0.823
0.456 0.456 0.268
0.544 0.544 0.732
0.634 0.634 0.177
0.820 0.820 0.092
0.910 0.910 0.548
0.272 0.272 0.362
0.728 0.728 0.638

[15]
TeP (PBE, relaxed); crystal system = orthorhombic; DOS(E_F) = 0.8 states/eV/f.u.; energy relative to the elements, uncorrected = 25 kJ/mol of atoms; space group = Imma, No. 74; calculated density = 3.77 g/cm³
1.0
-1.582 2.609 8.466
1.582 -2.609 8.466
1.582 2.609 -8.466
Te P
2 2
Direct
0.289 0.039 0.250
0.711 0.961 0.750
0.042 0.292 0.750
0.958 0.708 0.250

[16]
TlB3F (PBE, relaxed); crystal system = cubic; DOS(E_F) = 1.8 states/eV/f.u.; energy relative to the elements, uncorrected = 180 kJ/mol of atoms; space group = Pm-3m, No. 221; calculated density = 6.20 g/cm³; ΔE to the lowest computed polymorph = 0 meV/atom
1.0
4.091 0.000 0.000
0.000 4.091 0.000
0.000 0.000 4.091
Tl B F
1 3 1
Direct
0.000 0.000 0.000
0.000 0.500 0.500
0.500 0.000 0.500
0.500 0.500 0.000
0.500 0.500 0.500

[17]
Sr2PtPb (PBE, relaxed); crystal system = monoclinic; DOS(E_F) = 0.8 states/eV/f.u.; space group = C2/m, No. 12; calculated density = 7.06 g/cm³; formation energy from the elements = -53.5 kJ/mol of atoms
1.0
3.644 -2.099 0.000
3.644 2.099 0.000
-2.417 0.000 8.876
Sr Pt Pb
2 1 1
Direct
0.234 0.234 0.203
0.766 0.766 0.797
0.500 0.500 0.000
0.000 0.000 0.500

[18]
ZrHg4Te (PBE, relaxed); crystal system = cubic; DOS(E_F) = 4.9 states/eV/f.u.; energy relative to the elements, uncorrected = 27 kJ/mol of atoms; space group = F-43m, No. 216; calculated density = 11.34 g/cm³
1.0
0.000 4.213 4.213
4.213 0.000 4.213
4.213 4.213 0.000
Zr Hg Te
1 4 1
Direct
0.000 0.000 0.000
0.124 0.625 0.625
0.625 0.124 0.625
0.625 0.625 0.124
0.625 0.625 0.625
0.250 0.250 0.250

[19]
Zn4ReMo (PBE, relaxed); crystal system = cubic; DOS(E_F) = 1.5 states/eV/f.u.; space group = F-43m, No. 216; calculated density = 10.89 g/cm³; formation energy from the elements = 13.4 kJ/mol of atoms
1.0
0.000 3.462 3.462
3.462 0.000 3.462
3.462 3.462 0.000
Zn Re Mo
4 1 1
Direct
0.125 0.125 0.125
0.125 0.125 0.625
0.125 0.625 0.125
0.625 0.125 0.125
0.500 0.500 0.500
0.750 0.750 0.750

[20]
BaAl2Zn4Ag (PBE, relaxed); crystal system = trigonal; DOS(E_F) = 4.0 states/eV/f.u.; space group = R-3m, No. 166; calculated density = 5.58 g/cm³; formation energy from the elements = -7.4 kJ/mol of atoms
1.0
2.210 1.276 9.855
-2.210 1.276 9.855
0.000 -2.552 9.855
Ba Al Zn Ag
1 2 4 1
Direct
0.000 0.000 0.000
0.237 0.237 0.237
0.763 0.763 0.763
0.131 0.131 0.131
0.409 0.409 0.409
0.591 0.591 0.591
0.869 0.869 0.869
0.500 0.500 0.500